No. 1
An optimized crystal structure of MgAgAs, computed with GGA-PBE.

Calculated values
**SG**: Cmc2_1, No. 36
**D(E_F)**: 0.01 states/eV/atom

Structure (extended XYZ):
```
6
Lattice="4.352 -0.001 0.001 0.002 7.570 0.000 2.180 0.000 3.769" Properties=species:S:1:pos:R:3 pbc="T T T"
Mg 5.780 1.982 2.751
Mg 5.787 5.767 2.752
As 1.432 6.803 0.238
As 3.603 3.018 1.494
Ag 3.606 0.342 1.495
Ag 1.428 4.127 0.237
```



No. 2
An optimized crystal structure of MgAgAs, computed with GGA-PBE.

Calculated values
**SG**: I4mm, No. 107
**D(E_F)**: 0.33 states/eV/atom

Structure (extended XYZ):
```
3
Lattice="-4.004 2.274 1.596 -0.583 -0.292 4.829 3.700 1.270 -2.906" Properties=species:S:1:pos:R:3 pbc="T T T"
Ag -4.585 1.981 6.422
As -1.517 0.655 2.125
Mg -3.073 1.327 4.304
```



No. 3
An optimized crystal structure of MgAgAs, computed with GGA-PBE.

Calculated values
**SG**: P1, No. 1
**D(E_F)**: 0.17 states/eV/atom

Structure (extended XYZ):
```
6
Lattice="4.217 0.009 0.001 -0.009 4.091 0.003 -0.005 0.008 6.879" Properties=species:S:1:pos:R:3 pbc="T T T"
Mg 4.009 1.296 2.401
Mg 1.889 1.321 6.774
As 1.899 1.286 4.141
As 4.002 3.348 0.461
Ag 1.894 3.333 2.286
Ag 4.001 3.337 4.615
```



No. 4
An optimized crystal structure of MgMn2AgAs, computed with GGA-PBE.

Calculated values
**SG**: P4/mmm, No. 123
**D(E_F)**: 0.86 states/eV/atom

Structure (extended XYZ):
```
5
Lattice="4.640 0.000 0.000 0.000 4.900 0.000 0.000 0.000 4.640" Properties=species:S:1:pos:R:3 pbc="T T T"
As 0.000 0.000 0.000
Mn 0.000 0.000 2.320
Mn 2.320 0.000 0.000
Mg 0.000 2.450 0.000
Ag 2.320 2.450 2.320
```



No. 5
An optimized crystal structure of NaMg4Ag3As4, computed with GGA-PBE.

Calculated values
**SG**: Pmm2, No. 25
**D(E_F)**: 0.08 states/eV/atom

Structure (extended XYZ):
```
12
Lattice="5.213 0.000 0.000 0.000 5.216 0.000 0.000 0.000 9.777" Properties=species:S:1:pos:R:3 pbc="T T T"
Na 0.000 4.704 4.888
Mg 0.000 0.115 1.646
Mg 2.607 2.674 4.888
Mg 0.000 0.115 8.130
Mg 2.607 2.543 0.000
Ag 2.607 1.190 7.281
Ag 0.000 3.053 0.000
Ag 2.607 1.190 2.495
As 0.000 2.657 7.216
As 2.607 5.144 0.000
As 0.000 2.657 2.560
As 2.607 0.038 4.888
```



No. 6
An optimized crystal structure of Mg2NbAgAs, computed with GGA-PBE.

Calculated values
**SG**: P4/mmm, No. 123
**D(E_F)**: 0.66 states/eV/atom

Structure (extended XYZ):
```
5
Lattice="-0.039 4.968 2.185 -0.277 -1.970 4.474 5.418 -0.088 0.297" Properties=species:S:1:pos:R:3 pbc="T T T"
Mg 2.709 -0.044 0.148
Mg -0.019 2.484 1.093
Nb 0.000 0.000 0.000
As -0.138 -0.985 2.237
Ag 2.551 1.455 3.478
```



no.,total energy (eV per cell),total magnetization (Bohr magnetons per cell),formation enthalpy at 0 K (eV/atom)
1,-19.6,0.00,-0.23
2,-9.5,0.00,-0.12
3,-19.6,0.00,-0.24
4,-25.3,7.05,0.43
5,-37.0,0.00,-0.18
6,-17.1,1.61,0.73